Material: Hg2Pd2Pb
Method: DFT, SCAN
State: single point on PBEsol structure Values from VASP.

Values from the calculation:
The crystal system is tetragonal. Its energy is -556.5 eV for the cell shown. The space-group type is No. 127.

Quantum ESPRESSO input file:
```
&SYSTEM
  ibrav = 0, nat = 10, ntyp = 3
/
ATOMIC_SPECIES
Hg 200.59 Hg.upf
Pd 106.42 Pd.upf
Pb 207.20 Pb.upf
ATOMIC_POSITIONS crystal
Hg 0.154 0.346 0.000
Hg 0.346 0.846 0.000
Hg 0.654 0.154 0.000
Hg 0.846 0.654 0.000
Pd 0.142 0.642 0.500
Pd 0.358 0.142 0.500
Pd 0.642 0.858 0.500
Pd 0.858 0.358 0.500
Pb 0.000 0.000 0.500
Pb 0.500 0.500 0.500
CELL_PARAMETERS angstrom
7.441 0.000 0.000
0.000 7.441 0.000
0.000 0.000 3.494
```